First-principles (PBE with a Hubbard U) data for a relaxed structure of BaFeAg2F8, as listed in the Alexandria database.

Values from the calculation:
- calculated volume (A^3/atom) = 14.73
- total magnetic moment (μB per atom) = 0.51
- uncorrected energy (eV/f.u.) = -53.2

a b c (Å): 5.5502 5.5502 6.9510
angles (deg): 113.53 113.53 90.00
Each line ends with the local moment (μB).
Positions (direct):
Ba 0.5000 0.5000 0.0000  0.00
Fe 0.2500 0.7500 0.5000  4.43
Ag 0.7500 0.2500 0.5000  0.39
Ag 0.0000 0.0000 0.0000  0.32
F 0.1231 0.6392 0.7145  0.11
F 0.5914 0.6392 0.7145  0.11
F 0.3608 0.4086 0.2855  0.11
F 0.9247 0.8769 0.2855  0.11
F 0.5914 0.0753 0.7145  0.11
F 0.3608 0.8769 0.2855  0.11
F 0.1231 0.0753 0.7145  0.11
F 0.9247 0.4086 0.2855  0.11